No. 1
The following is a PBE calculation of PrLuMnCd after structural relaxation, from the Alexandria database.

The space group is F-43m (No. 216) and the conventional cell measures 7.385, 7.385 and 7.385 Å, with angles of 90.00, 90.00 and 90.00 degrees. The asymmetric unit holds Pr at (0.000, 0.000, 0.000), Lu at (0.000, 0.000, 0.500), Mn at (0.250, 0.250, 0.750) and Cd at (0.250, 0.250, 0.250).

The calculation puts the density of states at the Fermi level at 21.636 states/eV/cell. Its spin magnetization is 3.25 μB per formula unit. The value obtained for the total energy is -4.827 eV/atom. The formation energy comes out at 0.019 eV/atom.

No. 2
The following is a PBE calculation of LuScMnCd after structural relaxation, from the Alexandria database.

The space group is F-43m (No. 216) and the conventional cell measures 7.022, 7.022 and 7.022 Å, with angles of 90.00, 90.00 and 90.00 degrees. The asymmetric unit holds Lu at (0.000, 0.000, 0.000), Sc at (0.000, 0.000, 0.500), Mn at (0.250, 0.250, 0.750) and Cd at (0.250, 0.250, 0.250).

The calculation puts the density of states at the Fermi level at 23.717 states/eV/cell. Its spin magnetization is 2.99 μB per formula unit. The value obtained for the total energy is -5.249 eV/atom. The formation energy comes out at -0.015 eV/atom.

No. 3
The following is a PBE calculation of TbLuMnCd after structural relaxation, from the Alexandria database.

The space group is F-43m (No. 216) and the conventional cell measures 7.240, 7.240 and 7.240 Å, with angles of 90.00, 90.00 and 90.00 degrees. The asymmetric unit holds Tb at (0.000, 0.000, 0.000), Lu at (0.000, 0.000, 0.500), Mn at (0.250, 0.250, 0.250) and Cd at (0.250, 0.250, 0.750).

The calculation puts the density of states at the Fermi level at 22.667 states/eV/cell. Its spin magnetization is 3.09 μB per formula unit. The value obtained for the total energy is -4.821 eV/atom. The formation energy comes out at -0.012 eV/atom.

No. 4
The following is a PBE calculation of YLuMnCd after structural relaxation, from the Alexandria database.

The space group is F-43m (No. 216) and the conventional cell measures 7.249, 7.249 and 7.249 Å, with angles of 90.00, 90.00 and 90.00 degrees. The asymmetric unit holds Y at (0.000, 0.000, 0.000), Lu at (0.000, 0.000, 0.500), Mn at (0.250, 0.250, 0.250) and Cd at (0.250, 0.250, 0.750).

The calculation puts the density of states at the Fermi level at 23.247 states/eV/cell. Its spin magnetization is 3.23 μB per formula unit. The value obtained for the total energy is -5.285 eV/atom. The formation energy comes out at -0.017 eV/atom.

No. 5
The following is a PBE calculation of Lu4Cd2N after structural relaxation, from the Alexandria database.

The space group is I4/mmm (No. 139) and the conventional cell measures 4.679, 4.679 and 14.866 Å, with angles of 90.00, 90.00 and 90.00 degrees. The asymmetric unit holds Lu at (0.000, 0.000, 0.165), Lu at (0.000, 0.500, 0.000), Cd at (0.000, 0.000, 0.366) and N at (0.000, 0.000, 0.000).

The calculation puts the density of states at the Fermi level at 15.505 states/eV/cell. Its spin magnetization is 0.00 μB per formula unit. As for the uncorrected formation energy: -0.574 eV per atom. The value obtained for the total energy is -4.608 eV/atom.

No. 6
The following is a PBE calculation of NaLuCd4 after structural relaxation, from the Alexandria database.

The space group is F-43m (No. 216) and the conventional cell measures 8.339, 8.339 and 8.339 Å, with angles of 90.00, 90.00 and 90.00 degrees. The asymmetric unit holds Na at (0.000, 0.000, 0.000), Lu at (0.250, 0.250, 0.750) and Cd at (0.125, 0.125, 0.375).

The calculation puts the density of states at the Fermi level at 9.524 states/eV/cell. Its spin magnetization is 0.00 μB per formula unit. The value obtained for the total energy is -1.679 eV/atom. The formation energy comes out at -0.096 eV/atom.

No. 7
The following is a PBE calculation of NaLuCd2 after structural relaxation, from the Alexandria database.

The space group is P4/mmm (No. 123) and the conventional cell measures 5.389, 5.389 and 3.437 Å, with angles of 90.00, 90.00 and 90.00 degrees. The asymmetric unit holds Na at (0.000, 0.000, 0.000), Lu at (0.500, 0.500, 0.000) and Cd at (0.000, 0.500, 0.500).

The calculation puts the density of states at the Fermi level at 2.137 states/eV/cell. Its spin magnetization is 0.00 μB per formula unit. The value obtained for the energy above the lowest structure with this stoichiometry is 0.000 eV/atom. The value obtained for the total energy is -2.084 eV/atom. The formation energy comes out at -0.167 eV/atom.

No. 8
The following is a PBE calculation of NaLuCd2 after structural relaxation, from the Alexandria database.

The space group is Fm-3m (No. 225) and the conventional cell measures 7.321, 7.321 and 7.321 Å, with angles of 90.00, 90.00 and 90.00 degrees. The asymmetric unit holds Na at (0.000, 0.000, 0.000), Lu at (0.000, 0.000, 0.500) and Cd at (0.250, 0.250, 0.250).

The calculation puts the density of states at the Fermi level at 11.421 states/eV/cell. Its spin magnetization is 0.00 μB per formula unit. The value obtained for the energy above the lowest structure with this stoichiometry is 0.071 eV/atom. The value obtained for the total energy is -2.014 eV/atom. The formation energy comes out at -0.096 eV/atom.